Entry 1:
Entry from Alexandria via LeMat-Bulk: a geometry-optimized Nb2Sb3 structure (PBE-GGA).

abc: 6.6726 3.5577 10.5198
angles: 90.00 108.34 90.00
Last column: nearest neighbours and their distance in Å.
Space group P2_1/m (No. 11)
Symmetry-distinct sites (fractional):
1 Nb 0.0480 0.2500 0.1378  6 Sb 2.75-2.84
2 Nb 0.2517 0.2500 0.4943  6 Sb 2.77-2.91
3 Sb 0.1738 0.7500 0.6754  4 Nb 2.77-2.84
4 Sb 0.2948 0.2500 0.9718  3 Nb 2.75-2.84
5 Sb 0.3474 0.7500 0.3024  5 Nb 2.82-2.91

E_tot	-6.56	eV/atom

=====

Entry 2:
Entry from Alexandria via LeMat-Bulk: a geometry-optimized Nb5Sb structure (PBE-GGA).

abc: 4.7876 9.7470 4.8260
angles: 90.00 90.00 90.00
Last column: nearest neighbours and their distance in Å.
Space group Cmmm (No. 65)
Symmetry-distinct sites (fractional):
1 Nb 0.0000 0.0000 0.0000  10 Nb 2.92-3.19
2 Nb 0.0000 0.1729 0.5000  6 Nb 2.83-2.94, 2 Sb 2.93
3 Nb 0.0000 0.3277 0.0000  6 Nb 2.83-2.92, 2 Sb 2.94
4 Sb 0.0000 0.5000 0.5000  10 Nb 2.93-3.19

excess energy over the best structure of this formula in the dataset	7.1	kJ/mol of atoms
E_tot	-9.14	eV/atom